# 1
A relaxed TiMnTcAs crystal, computed with PBE.

Energy = -8.334 eV/atom
DOS(E_F) = 0.735 states/eV per atom
SG = F-43m (216)
Energy of formation = -0.314 eV per atom
Mass density = 8.49 g/cm3
Total magnetization = 0.458 μB/f.u.

Cell and atoms, written as POSCAR:
```
TiMnTcAs
1.0
-0.062 -0.865 4.151
-2.897 -2.672 1.566
1.178 -3.831 1.386
As Mn Tc Ti
1 1 1 1
Direct
0.750 0.750 0.750
0.000 0.000 0.000
0.500 0.500 0.500
0.250 0.250 0.250
```

***

# 2
A relaxed BeIrBr crystal, computed with PBE.

Energy relative to the lowest polymorph listed for this composition = 515.3 meV/atom
Energy = -4.538 eV/atom
DOS(E_F) = 0.003 states/eV per atom
Raw formation energy = 215 meV/atom
SG = Pnma (62)
Mass density = 7.00 g/cm3
Total magnetization = 0.000 μB/f.u.

Cell and atoms, written as POSCAR:
```
BeIrBr
1.0
8.627 0.000 0.000
0.000 3.684 0.000
0.000 0.000 8.390
Be Ir Br
4 4 4
Direct
0.940 0.250 0.497
0.560 0.750 0.997
0.060 0.750 0.503
0.440 0.250 0.003
0.187 0.250 0.430
0.313 0.750 0.930
0.813 0.750 0.570
0.687 0.250 0.070
0.802 0.250 0.803
0.698 0.750 0.303
0.198 0.750 0.197
0.302 0.250 0.697
```